A plane-wave DFT calculation with PBE was carried out for crystalline SrLi4TlPb2 at its relaxed geometry.

Lattice parameters (Å, degrees): 5.001 5.001 9.242 74.30 74.30 60.00
Fractional coordinates of all 8 atoms:
Sr 0.000 0.000 0.000
Li 0.395 0.395 0.814
Li 0.869 0.869 0.394
Li 0.131 0.131 0.606
Li 0.605 0.605 0.186
Tl 0.500 0.500 0.500
Pb 0.745 0.745 0.766
Pb 0.255 0.255 0.234

## Properties
Energy relative to the elements, eV per formula unit: -2.54
Symmetry: R-3m (166)

---

A plane-wave DFT calculation with PBE was carried out for crystalline Pr5Y12Er2 at its relaxed geometry.

Lattice parameters (Å, degrees): 6.824 14.091 15.661 153.26 86.56 101.27
Fractional coordinates of all 19 atoms:
Pr 0.268 0.578 0.568
Pr 0.576 0.009 0.397
Pr 0.000 0.000 0.500
Pr 0.424 0.991 0.603
Pr 0.732 0.422 0.432
Y 0.960 0.031 0.232
Y 0.130 0.613 0.005
Y 0.605 0.511 0.904
Y 0.063 0.457 0.260
Y 0.616 0.615 0.390
Y 0.561 0.082 0.889
Y 0.439 0.918 0.111
Y 0.937 0.543 0.740
Y 0.384 0.385 0.610
Y 0.870 0.387 0.995
Y 0.395 0.489 0.096
Y 0.040 0.969 0.768
Er 0.738 0.921 0.936
Er 0.262 0.079 0.064

## Properties
Energy relative to the elements, eV per formula unit: 2.03
Symmetry: P-1 (2)
Relative energy among the computed polymorphs, eV/atom: 0.0000

---

A plane-wave DFT calculation with PBE was carried out for crystalline CeV4W at its relaxed geometry.

Lattice parameters (Å, degrees): 5.133 5.133 5.133 60.00 60.00 60.00
Fractional coordinates of all 6 atoms:
Ce 0.000 0.000 0.000
W 0.250 0.250 0.250
V 0.625 0.625 0.125
V 0.625 0.125 0.625
V 0.625 0.625 0.625
V 0.125 0.625 0.625

## Properties
Energy relative to the elements, eV per formula unit: 1.61
Symmetry: F-43m (216)

---

A plane-wave DFT calculation with PBE was carried out for crystalline La3TaTl at its relaxed geometry.

Lattice parameters (Å, degrees): 5.628 5.628 5.628 90.00 90.00 90.00
Fractional coordinates of all 5 atoms:
Tl 0.500 0.500 0.500
La 0.000 0.500 0.000
La 0.000 0.000 0.500
La 0.500 0.000 0.000
Ta 0.000 0.000 0.000

## Properties
Energy relative to the elements, eV per formula unit: 1.82
Symmetry: Pm-3m (221)
Relative energy among the computed polymorphs, eV/atom: 0.0000

---

A plane-wave DFT calculation with PBE was carried out for crystalline SrTaAsBr2 at its relaxed geometry.

Lattice parameters (Å, degrees): 5.180 5.180 5.155 90.00 90.00 90.00
Fractional coordinates of all 5 atoms:
Sr 0.500 0.500 0.500
As 0.000 0.000 0.500
Br 0.000 0.500 0.000
Br 0.500 0.000 0.000
Ta 0.000 0.000 0.000

## Properties
Formation energy from raw total energies, eV/atom: -0.51
Symmetry: P4/mmm (123)
Relative energy among the computed polymorphs, eV/atom: 0.0000

---

A plane-wave DFT calculation with PBE was carried out for crystalline ZnNiAgPd at its relaxed geometry.

Lattice parameters (Å, degrees): 4.351 4.351 4.351 60.00 60.00 60.00
Fractional coordinates of all 4 atoms:
Ni 0.500 0.500 0.500
Zn 0.750 0.750 0.750
Pd 0.000 0.000 0.000
Ag 0.250 0.250 0.250

## Properties
Energy relative to the elements, eV per formula unit: -0.34
Symmetry: F-43m (216)

---

A plane-wave DFT calculation with PBE was carried out for crystalline NdZrCu2 at its relaxed geometry.

Lattice parameters (Å, degrees): 3.386 4.871 4.871 90.00 90.00 90.00
Fractional coordinates of all 4 atoms:
Nd 0.500 0.500 0.500
Cu 0.000 0.000 0.500
Cu 0.000 0.500 0.000
Zr 0.500 0.000 0.000

## Properties
Energy relative to the elements, eV per formula unit: -0.14
Symmetry: P4/mmm (123)
Relative energy among the computed polymorphs, eV/atom: 0.0655